This record from the Alexandria database describes a PBEsol-optimized structure of AlAgSb2Rh. The functional is SCAN.

abc: 4.964 5.082 5.082
angles: 90.00 90.00 90.00
Sites, in units of the cell vectors:
Rh1 0.500 0.000 0.000
Sb1 0.000 0.500 0.000
Sb2 0.000 0.000 0.500
Al1 0.500 0.500 0.500
Ag1 0.000 0.000 0.000

Output
**E_form (uncorrected)**: 1.0779 eV per atom
**SG**: No. 123
**Total magnetic moment**: 0.0 μB/f.u.
**VASP energy**: -28.404 eV per atom